# Pr2ZrSe4 | the Alexandria database | PBE | relaxed
# VASP energy = -6.057 eV per atom
data_Pr2ZrSe4
_chemical_formula_sum 'Pr4 Zr2 Se8'
_cell_length_a 7.2884
_cell_length_b 6.8516
_cell_length_c 8.1412
_cell_angle_alpha 90.00
_cell_angle_beta 105.74
_cell_angle_gamma 90.00
_symmetry_space_group_name_H-M 'P 1'
_symmetry_Int_Tables_number 1
_symmetry_space_group_name_Hall 'P 1'
loop_
_atom_site_label
_atom_site_fract_x
_atom_site_fract_y
_atom_site_fract_z
Pr1 0.2204 0.2500 0.0543
Pr2 0.2198 0.2500 0.5583
Pr3 0.7802 0.7500 0.4417
Pr4 0.7796 0.7500 0.9457
Zr1 0.2631 0.7500 0.3177
Zr2 0.7369 0.2500 0.6823
Se1 0.0121 0.5085 0.7543
Se2 0.0121 0.9915 0.7543
Se3 0.4589 0.7500 0.1048
Se4 0.4661 0.7500 0.6264
Se5 0.5339 0.2500 0.3736
Se6 0.5411 0.2500 0.8952
Se7 0.9879 0.0085 0.2457
Se8 0.9879 0.4915 0.2457



# TaAlPt2 | the Alexandria database | PBE | relaxed
# VASP energy = -6.970 eV per atom
data_TaAlPt2
_chemical_formula_sum 'Ta2 Al2 Pt4'
_cell_length_a 7.1173
_cell_length_b 7.1173
_cell_length_c 7.1173
_cell_angle_alpha 133.90
_cell_angle_beta 133.90
_cell_angle_gamma 67.25
_symmetry_space_group_name_H-M 'P 1'
_symmetry_Int_Tables_number 1
_symmetry_space_group_name_Hall 'P 1'
loop_
_atom_site_label
_atom_site_fract_x
_atom_site_fract_y
_atom_site_fract_z
Ta1 0.0000 0.0000 0.0000
Ta2 0.7500 0.2500 0.5000
Al1 0.2500 0.7500 0.5000
Al2 0.5000 0.5000 0.0000
Pt1 0.1402 0.6250 0.0152
Pt2 0.3750 0.3902 0.5152
Pt3 0.6098 0.1250 0.9848
Pt4 0.8750 0.8598 0.4848



# TmTiCdIn | the Alexandria database | PBE | relaxed
# VASP energy = -4.138 eV per atom
data_TmTiCdIn
_chemical_formula_sum 'Tm1 Ti1 Cd1 In1'
_cell_length_a 5.0220
_cell_length_b 5.0220
_cell_length_c 5.0220
_cell_angle_alpha 60.00
_cell_angle_beta 60.00
_cell_angle_gamma 60.00
_symmetry_space_group_name_H-M 'P 1'
_symmetry_Int_Tables_number 1
_symmetry_space_group_name_Hall 'P 1'
loop_
_atom_site_label
_atom_site_fract_x
_atom_site_fract_y
_atom_site_fract_z
Tm1 0.0000 0.0000 0.0000
Ti1 0.5000 0.5000 0.5000
Cd1 0.7500 0.7500 0.7500
In1 0.2500 0.2500 0.2500



Q: Which of these has the highest VASP energy?
A: TmTiCdIn



Q: Which of these has the lowest VASP energy?
A: TaAlPt2



Q: The highest VASP energy belongs to which entry?
A: TmTiCdIn